Material: Ga2BiS
Method: DFT, PBEsol
State: optimized geometry

abc: 4.9214 4.9214 4.9214
angles: 60.00 60.00 60.00
Sites, in units of the cell vectors:
Bi: 0.5000 0.5000 0.5000
Ga: 0.7500 0.7500 0.7500
Ga: 0.2500 0.2500 0.2500
S: 0.0000 0.0000 0.0000

Properties
magnetic moment	0.00	μB/atom
calculated total energy	-14.91	eV for the cell shown
D(E_F)	0.554	states/eV/atom
SG	Fm-3m
E_form (uncorrected)	0.1109	eV per atom